[1]
Density functional theory data (GGA-PBE) for an optimized crystal structure of DyPbS3.

Magnetic moment ... 0.000 μB/f.u.
V ... 26.78 A^3/atom
Formation energy from raw total energies ... -1056.0 meV per atom

Structure (CIF):
```
data_DyPbS3
_chemical_formula_sum 'Dy2 Pb2 S6'
_cell_length_a 7.036
_cell_length_b 4.097
_cell_length_c 9.325
_cell_angle_alpha 90.00
_cell_angle_beta 94.96
_cell_angle_gamma 90.00
_symmetry_space_group_name_H-M 'P 1 21/m 1'
_symmetry_Int_Tables_number 11
_symmetry_space_group_name_Hall '-P 2yb'
loop_
_atom_site_label
_atom_site_type_symbol
_atom_site_fract_x
_atom_site_fract_y
_atom_site_fract_z
Dy1 Dy 0.157 0.250 0.137
Pb1 Pb 0.273 0.250 0.560
S1 S 0.095 0.750 0.341
S2 S 0.212 0.750 0.961
S3 S 0.494 0.250 0.322
```



[2]
Density functional theory data (GGA-PBE) for an optimized crystal structure of DyPbS2.

Magnetic moment ... 0.000 μB/f.u.
V ... 29.05 A^3/atom
Formation energy from raw total energies ... -1305.6 meV per atom

Structure (CIF):
```
data_DyPbS2
_chemical_formula_sum 'Dy3 Pb3 S6'
_cell_length_a 3.9321
_cell_length_b 3.9321
_cell_length_c 26.0373
_cell_angle_alpha 90.00
_cell_angle_beta 90.00
_cell_angle_gamma 120.00
_symmetry_space_group_name_H-M 'R -3 m'
_symmetry_Int_Tables_number 166
_symmetry_space_group_name_Hall '-R 3 2"'
loop_
_atom_site_label
_atom_site_type_symbol
_atom_site_fract_x
_atom_site_fract_y
_atom_site_fract_z
Dy1 Dy 0.0000 0.0000 0.0000
Pb1 Pb 0.0000 0.0000 0.5000
S1 S 0.0000 0.0000 0.3910
```



[3]
Density functional theory data (GGA-PBE) for an optimized crystal structure of DyPb2S4.

Magnetic moment ... 0.000 μB/f.u.
V ... 25.48 A^3/atom
Formation energy from raw total energies ... -906.1 meV per atom

Structure (CIF):
```
data_DyPb2S4
_chemical_formula_sum 'Dy4 Pb8 S16'
_cell_length_a 3.892
_cell_length_b 13.703
_cell_length_c 13.379
_cell_angle_alpha 90.00
_cell_angle_beta 90.00
_cell_angle_gamma 90.00
_symmetry_space_group_name_H-M 'C m c m'
_symmetry_Int_Tables_number 63
_symmetry_space_group_name_Hall '-C 2c 2'
loop_
_atom_site_label
_atom_site_type_symbol
_atom_site_fract_x
_atom_site_fract_y
_atom_site_fract_z
Dy1 Dy 0.000 0.116 0.250
Pb1 Pb 0.000 0.369 0.069
S1 S 0.000 0.000 0.000
S2 S 0.000 0.290 0.631
S3 S 0.000 0.476 0.250
```



[4]
Density functional theory data (GGA-PBE) for an optimized crystal structure of Dy4Pb2S.

Magnetic moment ... 0.000 μB/f.u.
V ... 29.60 A^3/atom
Formation energy from raw total energies ... -766.1 meV per atom

Structure (CIF):
```
data_Dy4Pb2S
_chemical_formula_sum 'Dy8 Pb4 S2'
_cell_length_a 5.066
_cell_length_b 5.066
_cell_length_c 16.147
_cell_angle_alpha 90.00
_cell_angle_beta 90.00
_cell_angle_gamma 90.00
_symmetry_space_group_name_H-M 'I 4/m m m'
_symmetry_Int_Tables_number 139
_symmetry_space_group_name_Hall '-I 4 2'
loop_
_atom_site_label
_atom_site_type_symbol
_atom_site_fract_x
_atom_site_fract_y
_atom_site_fract_z
Dy1 Dy 0.000 0.000 0.167
Dy2 Dy 0.000 0.500 0.000
Pb1 Pb 0.000 0.000 0.361
S1 S 0.000 0.000 0.000
```



[5]
Density functional theory data (GGA-PBE) for an optimized crystal structure of Dy3Pb5S12.

Magnetic moment ... 0.000 μB/f.u.
V ... 26.85 A^3/atom
Formation energy from raw total energies ... -784.0 meV per atom

Structure (CIF):
```
data_Dy3Pb5S12
_chemical_formula_sum 'Dy24 Pb40 S96'
_cell_length_a 16.255
_cell_length_b 16.255
_cell_length_c 16.255
_cell_angle_alpha 90.00
_cell_angle_beta 90.00
_cell_angle_gamma 90.00
_symmetry_space_group_name_H-M 'I a -3 d'
_symmetry_Int_Tables_number 230
_symmetry_space_group_name_Hall '-I 4bd 2c 3'
loop_
_atom_site_label
_atom_site_type_symbol
_atom_site_fract_x
_atom_site_fract_y
_atom_site_fract_z
Dy1 Dy 0.000 0.250 0.125
Pb1 Pb 0.000 0.000 0.000
Pb2 Pb 0.000 0.250 0.375
S1 S 0.014 0.072 0.658
```



[6]
Density functional theory data (GGA-PBE) for an optimized crystal structure of DyPb2S3.

Magnetic moment ... 0.000 μB/f.u.
V ... 26.41 A^3/atom
Formation energy from raw total energies ... -1016.1 meV per atom

Structure (CIF):
```
data_DyPb2S3
_chemical_formula_sum 'Dy4 Pb8 S12'
_cell_length_a 14.776
_cell_length_b 5.774
_cell_length_c 7.704
_cell_angle_alpha 90.00
_cell_angle_beta 105.29
_cell_angle_gamma 90.00
_symmetry_space_group_name_H-M 'C 1 2/c 1'
_symmetry_Int_Tables_number 15
_symmetry_space_group_name_Hall '-C 2yc'
loop_
_atom_site_label
_atom_site_type_symbol
_atom_site_fract_x
_atom_site_fract_y
_atom_site_fract_z
Dy1 Dy 0.000 0.001 0.250
Pb1 Pb 0.163 0.500 0.082
S1 S 0.000 0.500 0.250
S2 S 0.134 0.000 0.068
```



[7]
Density functional theory data (GGA-PBE) for an optimized crystal structure of Dy6PbSe2S3.

Magnetic moment ... 0.000 μB/f.u.
V ... 23.65 A^3/atom
Formation energy from raw total energies ... -1642.3 meV per atom

Structure (CIF):
```
data_Dy6PbSe2S3
_chemical_formula_sum 'Dy12 Pb2 Se4 S6'
_cell_length_a 17.812
_cell_length_b 3.973
_cell_length_c 8.278
_cell_angle_alpha 90.00
_cell_angle_beta 104.35
_cell_angle_gamma 90.00
_symmetry_space_group_name_H-M 'C 1 2/m 1'
_symmetry_Int_Tables_number 12
_symmetry_space_group_name_Hall '-C 2y'
loop_
_atom_site_label
_atom_site_type_symbol
_atom_site_fract_x
_atom_site_fract_y
_atom_site_fract_z
Dy1 Dy 0.004 0.000 0.226
Dy2 Dy 0.162 0.500 0.094
Dy3 Dy 0.175 0.500 0.568
Pb1 Pb 0.000 0.500 0.500
Se1 Se 0.169 0.000 0.835
S1 S 0.000 0.500 0.000
S2 S 0.166 0.000 0.326
```



[8]
Density functional theory data (GGA-PBE) for an optimized crystal structure of Dy6Si2PbS3.

Magnetic moment ... 0.000 μB/f.u.
V ... 24.12 A^3/atom
Formation energy from raw total energies ... -1291.1 meV per atom

Structure (CIF):
```
data_Dy6Si2PbS3
_chemical_formula_sum 'Dy12 Si4 Pb2 S6'
_cell_length_a 17.858
_cell_length_b 4.045
_cell_length_c 8.261
_cell_angle_alpha 90.00
_cell_angle_beta 104.05
_cell_angle_gamma 90.00
_symmetry_space_group_name_H-M 'C 1 2/m 1'
_symmetry_Int_Tables_number 12
_symmetry_space_group_name_Hall '-C 2y'
loop_
_atom_site_label
_atom_site_type_symbol
_atom_site_fract_x
_atom_site_fract_y
_atom_site_fract_z
Dy1 Dy 0.000 0.000 0.228
Dy2 Dy 0.170 0.500 0.080
Dy3 Dy 0.174 0.500 0.592
Si1 Si 0.166 0.000 0.832
Pb1 Pb 0.000 0.500 0.500
S1 S 0.000 0.500 0.000
S2 S 0.167 0.000 0.331
```



[9]
Density functional theory data (GGA-PBE) for an optimized crystal structure of SmDy4PbS8.

Magnetic moment ... 0.000 μB/f.u.
V ... 27.63 A^3/atom
Formation energy from raw total energies ... -1765.1 meV per atom

Structure (CIF):
```
data_SmDy4PbS8
_chemical_formula_sum 'Sm3 Dy12 Pb3 S24'
_cell_length_a 8.1424
_cell_length_b 8.1424
_cell_length_c 20.2111
_cell_angle_alpha 90.00
_cell_angle_beta 90.00
_cell_angle_gamma 120.00
_symmetry_space_group_name_H-M 'R 3 m'
_symmetry_Int_Tables_number 160
_symmetry_space_group_name_Hall 'R 3 -2"'
loop_
_atom_site_label
_atom_site_type_symbol
_atom_site_fract_x
_atom_site_fract_y
_atom_site_fract_z
Sm1 Sm 0.0000 0.0000 0.0000
Dy1 Dy 0.0000 0.0000 0.3765
Dy2 Dy 0.0048 0.5024 0.5028
Pb1 Pb 0.0000 0.0000 0.6283
S1 S 0.0000 0.0000 0.2443
S2 S 0.0000 0.0000 0.7667
S3 S 0.0173 0.5086 0.7562
S4 S 0.1826 0.3653 0.5788
```



[10]
Density functional theory data (GGA-PBE) for an optimized crystal structure of SrDy4PbS8.

Magnetic moment ... 0.000 μB/f.u.
V ... 28.53 A^3/atom
Formation energy from raw total energies ... -1791.4 meV per atom

Structure (CIF):
```
data_SrDy4PbS8
_chemical_formula_sum 'Sr3 Dy12 Pb3 S24'
_cell_length_a 8.2019
_cell_length_b 8.2019
_cell_length_c 20.5671
_cell_angle_alpha 90.00
_cell_angle_beta 90.00
_cell_angle_gamma 120.00
_symmetry_space_group_name_H-M 'R 3 m'
_symmetry_Int_Tables_number 160
_symmetry_space_group_name_Hall 'R 3 -2"'
loop_
_atom_site_label
_atom_site_type_symbol
_atom_site_fract_x
_atom_site_fract_y
_atom_site_fract_z
Sr1 Sr 0.0000 0.0000 0.0000
Dy1 Dy 0.0000 0.0000 0.7512
Dy2 Dy 0.0049 0.5025 0.8747
Pb1 Pb 0.0000 0.0000 0.3698
S1 S 0.0000 0.0000 0.1386
S2 S 0.0000 0.0000 0.6176
S3 S 0.0072 0.5036 0.1334
S4 S 0.1818 0.3635 0.9467
```



| no. | density (g/cm3) | final energy (eV per atom) |
| --- | --- | --- |
| 1 | 5.778 | -5.19 |
| 2 | 6.199 | -5.45 |
| 3 | 6.564 | -4.98 |
| 4 | 8.787 | -5.05 |
| 5 | 5.902 | -4.88 |
| 6 | 7.053 | -5.08 |
| 7 | 8.406 | -5.87 |
| 8 | 7.656 | -5.84 |
| 9 | 5.427 | -6.04 |
| 10 | 4.995 | -5.85 |